a | # KGa2I8

An optimized crystal structure of KGa2I8 (PBE, the Alexandria database).

Values from the calculation:
Total magnetic moment in μB/cell: 0.00
Crystal system: monoclinic

```
KGa2I8
1.0
8.5781 -5.2420 0.0000
8.5781 5.2420 0.0000
-2.4371 0.0000 7.2328
K Ga I
1 2 8
direct
0.0000 0.0000 0.0000
0.1759 0.1759 0.6871
0.8241 0.8241 0.3129
0.1071 0.7059 0.2695
0.1982 0.1982 0.3713
0.2941 0.8929 0.7305
0.3123 0.3123 0.9569
0.6877 0.6877 0.0431
0.7059 0.1071 0.2695
0.8018 0.8018 0.6287
0.8929 0.2941 0.7305
```



b | # KGa2I8

An optimized crystal structure of KGa2I8 (PBE, the Alexandria database).

Values from the calculation:
Total magnetic moment in μB/cell: 0.00
Crystal system: trigonal

```
KGa2I8
1.0
8.4824 0.0000 0.0000
-4.2412 7.3460 0.0000
0.0000 0.0000 9.7398
K Ga I
1 2 8
direct
0.0000 0.0000 0.0000
0.3333 0.6667 0.3573
0.6667 0.3333 0.6427
0.1651 0.3303 0.2790
0.1651 0.8349 0.2790
0.3303 0.1651 0.7210
0.3333 0.6667 0.6228
0.6667 0.3333 0.3772
0.6697 0.8349 0.2790
0.8349 0.1651 0.7210
0.8349 0.6697 0.7210
```



Most stable to least stable, the ends of the list are a and b.